First-principles (PBE-GGA) data for a geometry-optimized CsK2IrO4 structure, as listed in Alexandria.

- Calculated density: 4.7 g/cm³
- Magnetic moment: 0.251 μB/atom
- Energy relative to the elements, uncorrected: -1183 meV/atom
- VASP energy: -82.4 eV/cell

Cell lengths 6.7208, 6.7208, 7.3871 Å; angles 90.00, 90.00, 90.00 degrees
Space group I4/mmm (No. 139)
Inequivalent atoms, fractional coordinates:
Cs  0.0000  0.0000  0.0000 x2
K  0.0000  0.5000  0.2500 x4
Ir  0.0000  0.0000  0.5000 x2
O  0.1973  0.1973  0.5000 x8